First-principles (PBE) data for a relaxed structure of KCe2CuS4, as listed in Alexandria.

Cell: 4.0603 7.2493 13.9410 Å, 90.00 90.00 106.26°
With the nearest neighbours (Å) after each atom.
Fractional coordinates of all 16 atoms:
K (0.1068, 0.2136, 0.7500)  6 S 3.22-3.32
K (0.8932, 0.7864, 0.2500)  6 S 3.22-3.32
Ce (0.3675, 0.7351, 0.5596)  6 S 2.78-2.87
Ce (0.6325, 0.2649, 0.0596)  6 S 2.78-2.87
Ce (0.6325, 0.2649, 0.4404)  6 S 2.78-2.87
Ce (0.3675, 0.7351, 0.9404)  6 S 2.78-2.87
Cu (0.8359, 0.6719, 0.7500)  4 S 2.33-2.39
Cu (0.1641, 0.3281, 0.2500)  4 S 2.33-2.39
S (0.2622, 0.5244, 0.1142)  1 Cu 2.33
S (0.7378, 0.4756, 0.6142)  1 Cu 2.33
S (0.7378, 0.4756, 0.8858)  1 Cu 2.33
S (0.2622, 0.5244, 0.3858)  1 Cu 2.33
S (0.0000, 0.0000, 0.5000)  4 Ce 2.87
S (0.0000, 0.0000, 0.0000)  4 Ce 2.87
S (0.4270, 0.8540, 0.7500)  2 Cu 2.39
S (0.5730, 0.1460, 0.2500)  2 Cu 2.39

SG: Cmcm
Total DFT energy (no corrections) in eV/atom: -5.793

***

First-principles (PBE) data for a relaxed structure of Hg2PtBr, as listed in Alexandria.

Cell: 6.6185 6.6185 6.6185 Å, 145.27 145.27 49.94°
With the nearest neighbours (Å) after each atom.
Fractional coordinates of all 4 atoms:
Br (0.7500, 0.2500, 0.5000)  4 Pt 2.79
Hg (0.0000, 0.0000, 0.0000)  4 Hg 2.79
Hg (0.5000, 0.5000, 0.0000)  4 Hg 2.79
Pt (0.2500, 0.7500, 0.5000)  4 Br 2.79

Energy above the most stable polymorph in this dataset in meV/atom: 367
SG: I4/mmm

***

First-principles (PBE) data for a relaxed structure of Cr2IrRh, as listed in Alexandria.

Cell: 3.6824 2.6658 5.9641 Å, 63.47 90.00 90.00°
With the nearest neighbours (Å) after each atom.
Fractional coordinates of all 4 atoms:
Cr (0.0000, 0.9922, 0.0072)  4 Cr 2.59-2.74, 4 Ir 2.62, 4 Rh 2.65-2.66
Cr (0.0000, 0.5078, 0.4928)  4 Cr 2.59-2.74, 4 Ir 2.62, 4 Rh 2.65-2.66
Ir (0.5000, 0.2500, 0.2500)  8 Cr 2.62, 2 Ir 2.67, 2 Rh 2.67
Rh (0.5000, 0.7500, 0.7500)  8 Cr 2.65-2.66, 2 Rh 2.67, 2 Ir 2.67

SG: Pmmm
Energy of formation in eV per atom: -0.12

***

First-principles (PBE) data for a relaxed structure of TmTlCdF6, as listed in Alexandria.

Cell: 6.0606 6.0606 5.6666 Å, 90.01 89.99 59.99°
With the nearest neighbours (Å) after each atom.
Fractional coordinates of all 9 atoms:
Tm (0.6666, 0.6666, 0.5000)  6 F 2.16
Tl (0.0000, 0.0000, 0.0000)  6 F 2.85
Cd (0.3333, 0.3334, 0.5000)  6 F 2.28
F (0.9855, 0.3871, 0.2961)  1 Tm 2.16, 1 Cd 2.28
F (0.3870, 0.9855, 0.7039)  1 Tm 2.16, 1 Cd 2.28
F (0.6273, 0.3873, 0.7040)  1 Tm 2.16, 1 Cd 2.28
F (0.9853, 0.6275, 0.7039)  1 Tm 2.16, 1 Cd 2.28
F (0.3873, 0.6273, 0.2960)  1 Tm 2.16, 1 Cd 2.28
F (0.6275, 0.9853, 0.2960)  1 Tm 2.16, 1 Cd 2.28

SG: P312
Total DFT energy (no corrections) in eV/atom: -5.075

***

First-principles (PBE) data for a relaxed structure of Mg3Tc, as listed in Alexandria.

Cell: 2.8490 4.3663 5.8534 Å, 90.00 90.00 90.00°
With the nearest neighbours (Å) after each atom.
Fractional coordinates of all 4 atoms:
Mg (0.5000, 0.5000, 0.7714)  3 Mg 2.68-2.85, 4 Tc 2.93
Mg (0.0000, 0.0000, 0.5000)  10 Mg 2.85-3.05, 2 Tc 2.93
Mg (0.5000, 0.5000, 0.2286)  3 Mg 2.68-2.85, 4 Tc 2.93
Tc (0.0000, 0.0000, 0.0000)  2 Tc 2.85, 10 Mg 2.93

SG: Pmmm
Energy of formation in eV per atom: 0.21

***

First-principles (PBE) data for a relaxed structure of MgS3Cl, as listed in Alexandria.

Cell: 4.6710 4.6710 4.6710 Å, 90.00 90.00 90.00°
With the nearest neighbours (Å) after each atom.
Fractional coordinates of all 5 atoms:
S (0.0000, 0.5000, 0.0000)  2 Cl 2.34
S (0.0000, 0.0000, 0.5000)  2 Cl 2.34
S (0.5000, 0.0000, 0.0000)  2 Cl 2.34
Mg (0.5000, 0.5000, 0.5000)  12 S 3.30
Cl (0.0000, 0.0000, 0.0000)  6 S 2.34

Energy above the most stable polymorph in this dataset in meV/atom: 90
SG: Pm-3m

***

First-principles (PBE) data for a relaxed structure of PrDyZn, as listed in Alexandria.

Cell: 3.6538 3.6538 6.7139 Å, 105.79 105.79 90.00°
With the nearest neighbours (Å) after each atom.
Fractional coordinates of all 3 atoms:
Pr (0.0181, 0.0181, 0.0362)  4 Zn 3.24, 1 Dy 3.57
Zn (0.6755, 0.6755, 0.3510)  4 Dy 3.05, 4 Pr 3.24
Dy (0.3064, 0.3064, 0.6129)  4 Zn 3.05

Energy above the most stable polymorph in this dataset in meV/atom: 0
SG: I4mm
Energy of formation in eV per atom: -0.20

***

First-principles (PBE) data for a relaxed structure of TbMgCl4, as listed in Alexandria.

Cell: 3.5650 7.2044 6.9941 Å, 106.52 90.00 90.00°
With the nearest neighbours (Å) after each atom.
Fractional coordinates of all 6 atoms:
Tb (0.5000, 0.5000, 0.0000)  6 Cl 2.75-2.79
Mg (0.0000, 0.5000, 0.5000)  6 Cl 2.52-2.53
Cl (0.0000, 0.2769, 0.7221)  1 Mg 2.53, 2 Tb 2.79
Cl (0.0000, 0.7231, 0.2779)  1 Mg 2.53, 2 Tb 2.79
Cl (0.5000, 0.2994, 0.2812)  2 Mg 2.52, 1 Tb 2.75
Cl (0.5000, 0.7006, 0.7188)  2 Mg 2.52, 1 Tb 2.75

SG: P2/m
Total DFT energy (no corrections) in eV/atom: -4.124

***

First-principles (PBE) data for a relaxed structure of Pu2GaBr6, as listed in Alexandria.

Cell: 7.6355 7.6355 8.1519 Å, 62.07 62.07 60.00°
With the nearest neighbours (Å) after each atom.
Fractional coordinates of all 9 atoms:
Pu (0.2867, 0.2867, 0.1399)  6 Br 2.95-2.96
Pu (0.4752, 0.4752, 0.5745)  6 Br 2.94-2.95
Ga (0.7861, 0.7861, 0.6417)  6 Br 3.10-3.21
Br (0.5466, 0.2162, 0.3575)  2 Pu 2.94-2.95, 1 Ga 3.21
Br (0.2162, 0.8798, 0.3575)  2 Pu 2.94-2.95, 1 Ga 3.21
Br (0.8798, 0.5466, 0.3575)  2 Pu 2.94-2.95, 1 Ga 3.21
Br (0.3792, 0.6738, 0.8562)  2 Pu 2.95-2.96, 1 Ga 3.10
Br (0.6738, 0.0909, 0.8562)  2 Pu 2.95-2.96, 1 Ga 3.10
Br (0.0909, 0.3792, 0.8562)  2 Pu 2.95-2.96, 1 Ga 3.10

SG: R3
Total DFT energy (no corrections) in eV/atom: -5.939

***

First-principles (PBE) data for a relaxed structure of ZnGa2PdN, as listed in Alexandria.

Cell: 5.1611 3.4497 5.1611 Å, 90.00 90.00 90.00°
With the nearest neighbours (Å) after each atom.
Fractional coordinates of all 5 atoms:
Zn (0.0000, 0.0000, 0.0000)  2 N 1.72
Ga (0.0000, 0.0000, 0.5000)  2 Zn 2.58
Ga (0.5000, 0.0000, 0.0000)  2 Zn 2.58
Pd (0.5000, 0.5000, 0.5000)  8 Ga 3.10, 2 Pd 3.45
N (0.0000, 0.5000, 0.0000)  2 Zn 1.72

SG: P4/mmm
Total DFT energy (no corrections) in eV/atom: -3.492

***

First-principles (PBE) data for a relaxed structure of Re2IrRu, as listed in Alexandria.

Cell: 4.7684 4.7684 4.7316 Å, 80.62 80.62 33.34°
With the nearest neighbours (Å) after each atom.
Fractional coordinates of all 4 atoms:
Ir (0.2500, 0.2500, 0.2500)  4 Ru 2.73, 2 Ir 2.74, 6 Re 2.75-2.76
Re (0.0002, 0.0002, 0.9976)  6 Re 2.71-2.75, 3 Ru 2.74-2.75, 3 Ir 2.75-2.76
Re (0.4998, 0.4998, 0.5024)  6 Re 2.71-2.75, 3 Ru 2.74-2.75, 3 Ir 2.75-2.76
Ru (0.7500, 0.7500, 0.7500)  4 Ir 2.73, 2 Ru 2.74, 6 Re 2.74-2.75

Energy above the most stable polymorph in this dataset in meV/atom: 172
SG: C2/m
Energy of formation in eV per atom: -0.04

***

First-principles (PBE) data for a relaxed structure of AcGeP, as listed in Alexandria.

Cell: 4.3599 4.4425 4.4425 Å, 120.00 90.00 90.00°
With the nearest neighbours (Å) after each atom.
Fractional coordinates of all 3 atoms:
P (0.1420, 0.0000, 0.0000)  3 Ge 2.57
Ac (0.6703, 0.6667, 0.3333)  6 P 3.29-3.45, 6 Ge 3.32-3.42
Ge (0.1877, 0.3333, 0.6667)  3 P 2.57

Energy above the most stable polymorph in this dataset in meV/atom: 0
SG: P3m1
Energy of formation in eV per atom: -0.73

***

First-principles (PBE) data for a relaxed structure of La9CeEr4, as listed in Alexandria.

Cell: 11.2019 10.1024 10.1024 Å, 120.00 90.00 90.00°
With the nearest neighbours (Å) after each atom.
Fractional coordinates of all 28 atoms:
La (0.0440, 0.7904, 0.5808)  1 Ce 3.16
La (0.0440, 0.7904, 0.2096)  1 Ce 3.16
La (0.0440, 0.4192, 0.2096)  1 Ce 3.16
La (0.9560, 0.2096, 0.4192)  1 Ce 3.16
La (0.9560, 0.2096, 0.7904)  1 Ce 3.16
La (0.9560, 0.5808, 0.7904)  1 Ce 3.16
La (0.5440, 0.2096, 0.4192)  1 Ce 3.16
La (0.5440, 0.2096, 0.7904)  1 Ce 3.16
La (0.5440, 0.5808, 0.7904)  1 Ce 3.16
La (0.4560, 0.7904, 0.5808)  1 Ce 3.16
La (0.4560, 0.7904, 0.2096)  1 Ce 3.16
La (0.4560, 0.4192, 0.2096)  1 Ce 3.16
La (0.2500, 0.4651, 0.9302)  2 Er 3.42, 1 Ce 3.53
La (0.2500, 0.4651, 0.5349)  2 Er 3.42, 1 Ce 3.53
La (0.2500, 0.0698, 0.5349)  2 Er 3.42, 1 Ce 3.53
La (0.7500, 0.5349, 0.0698)  2 Er 3.42, 1 Ce 3.53
La (0.7500, 0.5349, 0.4651)  2 Er 3.42, 1 Ce 3.53
La (0.7500, 0.9302, 0.4651)  2 Er 3.42, 1 Ce 3.53
Ce (0.2500, 0.6667, 0.3333)  9 La 3.16-3.53
Ce (0.7500, 0.3333, 0.6667)  9 La 3.16-3.53
Er (0.2500, 0.1090, 0.2180)  4 Er 3.30-3.39, 2 La 3.42
Er (0.2500, 0.1090, 0.8910)  4 Er 3.30-3.39, 2 La 3.42
Er (0.2500, 0.7820, 0.8910)  4 Er 3.30-3.39, 2 La 3.42
Er (0.7500, 0.8910, 0.7820)  4 Er 3.30-3.39, 2 La 3.42
Er (0.7500, 0.8910, 0.1090)  4 Er 3.30-3.39, 2 La 3.42
Er (0.7500, 0.2180, 0.1090)  4 Er 3.30-3.39, 2 La 3.42
Er (0.0000, 0.0000, 0.0000)  6 Er 3.39, 6 La 3.70
Er (0.5000, 0.0000, 0.0000)  6 Er 3.39, 6 La 3.70

SG: P6_3/mmc
Energy of formation in eV per atom: 0.13

***

First-principles (PBE) data for a relaxed structure of PmZn2Ag3, as listed in Alexandria.

Cell: 5.3770 6.7016 6.7016 Å, 85.32 90.00 90.00°
With the nearest neighbours (Å) after each atom.
Fractional coordinates of all 12 atoms:
Pm (0.7500, 0.6709, 0.3291)  7 Ag 3.24-3.32, 4 Zn 3.30
Pm (0.2500, 0.3291, 0.6709)  7 Ag 3.24-3.32, 4 Zn 3.30
Zn (0.5000, 0.2377, 0.2377)  6 Ag 2.62-2.87, 2 Zn 2.69
Zn (0.0000, 0.2377, 0.2377)  6 Ag 2.62-2.87, 2 Zn 2.69
Zn (0.0000, 0.7623, 0.7623)  6 Ag 2.62-2.87, 2 Zn 2.69
Zn (0.5000, 0.7623, 0.7623)  6 Ag 2.62-2.87, 2 Zn 2.69
Ag (0.2500, 0.5535, 0.0950)  4 Zn 2.62-2.87, 1 Ag 2.77
Ag (0.2500, 0.9050, 0.4465)  4 Zn 2.62-2.87, 1 Ag 2.77
Ag (0.7500, 0.4465, 0.9050)  4 Zn 2.62-2.87, 1 Ag 2.77
Ag (0.2500, 0.9671, 0.0329)  4 Zn 2.72, 4 Ag 2.75-2.77
Ag (0.7500, 0.0329, 0.9671)  4 Zn 2.72, 4 Ag 2.75-2.77
Ag (0.7500, 0.0950, 0.5535)  4 Zn 2.62-2.87, 1 Ag 2.77

Energy above the most stable polymorph in this dataset in meV/atom: 0
SG: Cmcm
Energy of formation in eV per atom: -0.17

***

First-principles (PBE) data for a relaxed structure of Ti2Co2Re, as listed in Alexandria.

Cell: 6.9008 6.9008 2.8211 Å, 90.00 90.00 90.00°
With the nearest neighbours (Å) after each atom.
Fractional coordinates of all 10 atoms:
Re (0.0000, 0.0000, 0.0000)  4 Co 2.71, 2 Re 2.82, 8 Ti 2.92
Re (0.5000, 0.5000, 0.0000)  4 Co 2.71, 2 Re 2.82, 8 Ti 2.92
Co (0.3717, 0.8717, 0.0000)  6 Ti 2.42-2.51, 1 Co 2.50
Co (0.8717, 0.6283, 0.0000)  6 Ti 2.42-2.51, 1 Co 2.50
Co (0.6283, 0.1283, 0.0000)  6 Ti 2.42-2.51, 1 Co 2.50
Co (0.1283, 0.3717, 0.0000)  6 Ti 2.42-2.51, 1 Co 2.50
Ti (0.1704, 0.6704, 0.5000)  6 Co 2.42-2.51
Ti (0.6704, 0.8296, 0.5000)  6 Co 2.42-2.51
Ti (0.8296, 0.3296, 0.5000)  6 Co 2.42-2.51
Ti (0.3296, 0.1704, 0.5000)  6 Co 2.42-2.51

Energy above the most stable polymorph in this dataset in meV/atom: 0
SG: P4/mbm
Energy of formation in eV per atom: -0.18

***

First-principles (PBE) data for a relaxed structure of KSc2Ag, as listed in Alexandria.

Cell: 6.6544 6.6544 3.1713 Å, 77.78 77.78 122.46°
With the nearest neighbours (Å) after each atom.
Fractional coordinates of all 4 atoms:
Ag (0.5000, 0.0000, 0.5000)  2 Ag 3.17, 4 K 3.20-3.37, 4 Sc 3.37
K (0.0000, 0.5000, 0.5000)  2 K 3.17, 4 Ag 3.20-3.37, 4 Sc 3.37
Sc (0.0000, 0.0000, 0.0000)  6 Sc 3.17-3.37, 2 Ag 3.37, 2 K 3.37
Sc (0.5000, 0.5000, 0.0000)  6 Sc 3.17-3.37, 2 K 3.37, 2 Ag 3.37

SG: C2/m
Energy of formation in eV per atom: 0.46

***

First-principles (PBE) data for a relaxed structure of Ca2Si3AgAu12, as listed in Alexandria.

Cell: 7.5756 7.5756 7.5756 Å, 74.96 74.96 74.96°
With the nearest neighbours (Å) after each atom.
Fractional coordinates of all 18 atoms:
Ca (0.6057, 0.6057, 0.6057)  3 Au 2.86
Ca (0.3943, 0.3943, 0.3943)  3 Au 2.86
Si (0.5000, 0.0000, 0.0000)  6 Au 2.40-2.56
Si (0.0000, 0.5000, 0.0000)  6 Au 2.40-2.56
Si (0.0000, 0.0000, 0.5000)  6 Au 2.40-2.56
Ag (0.0000, 0.0000, 0.0000)  6 Au 2.78
Au (0.3142, 0.3142, 0.8548)  2 Si 2.56
Au (0.8454, 0.8454, 0.3645)  1 Si 2.40
Au (0.3645, 0.8454, 0.8454)  1 Si 2.40
Au (0.8548, 0.3142, 0.3142)  2 Si 2.56
Au (0.8454, 0.3645, 0.8454)  1 Si 2.40
Au (0.3142, 0.8548, 0.3142)  2 Si 2.56
Au (0.6858, 0.6858, 0.1452)  2 Si 2.56
Au (0.1546, 0.1546, 0.6355)  1 Si 2.40
Au (0.6355, 0.1546, 0.1546)  1 Si 2.40
Au (0.1452, 0.6858, 0.6858)  2 Si 2.56
Au (0.1546, 0.6355, 0.1546)  1 Si 2.40
Au (0.6858, 0.1452, 0.6858)  2 Si 2.56

SG: R-3m
Total DFT energy (no corrections) in eV/atom: -3.534

***

First-principles (PBE) data for a relaxed structure of NaTiAs2, as listed in Alexandria.

Cell: 3.5169 3.5169 8.0209 Å, 77.34 77.34 60.00°
With the nearest neighbours (Å) after each atom.
Fractional coordinates of all 4 atoms:
Na (0.4997, 0.4997, 0.5010)  6 As 3.02-3.03
Ti (0.6670, 0.6670, 0.9990)  6 As 2.60-2.61
As (0.0702, 0.0702, 0.7894)  3 Ti 2.60
As (0.2631, 0.2631, 0.2106)  3 Ti 2.61

Energy above the most stable polymorph in this dataset in meV/atom: 3
SG: R3m
Energy of formation in eV per atom: -0.54

***

First-principles (PBE) data for a relaxed structure of ZrHg2, as listed in Alexandria.

Cell: 3.3198 8.0412 5.2711 Å, 90.00 90.00 90.00°
With the nearest neighbours (Å) after each atom.
Fractional coordinates of all 6 atoms:
Zr (0.0000, 0.0000, 0.0000)  8 Hg 3.02-3.04, 2 Zr 3.32
Zr (0.5000, 0.5000, 0.5000)  8 Hg 3.02-3.04, 2 Zr 3.32
Hg (0.0000, 0.1827, 0.5000)  1 Hg 2.94, 4 Zr 3.02-3.04
Hg (0.5000, 0.3173, 0.0000)  1 Hg 2.94, 4 Zr 3.02-3.04
Hg (0.5000, 0.6827, 0.0000)  1 Hg 2.94, 4 Zr 3.02-3.04
Hg (0.0000, 0.8173, 0.5000)  1 Hg 2.94, 4 Zr 3.02-3.04

SG: Immm
Energy of formation in eV per atom: 0.09

***

First-principles (PBE) data for a relaxed structure of Co2Bi2Au, as listed in Alexandria.

Cell: 7.0306 7.0306 3.8291 Å, 90.00 90.00 90.00°
With the nearest neighbours (Å) after each atom.
Fractional coordinates of all 10 atoms:
Co (0.3754, 0.8754, 0.0000)  1 Co 2.48
Co (0.8754, 0.6246, 0.0000)  1 Co 2.48
Co (0.6246, 0.1246, 0.0000)  1 Co 2.48
Co (0.1246, 0.3754, 0.0000)  1 Co 2.48
Au (0.0000, 0.0000, 0.0000)  4 Co 2.78
Au (0.5000, 0.5000, 0.0000)  4 Co 2.78
Bi (0.1717, 0.6717, 0.5000)  6 Co 2.79-2.85
Bi (0.6717, 0.8283, 0.5000)  6 Co 2.79-2.85
Bi (0.8283, 0.3283, 0.5000)  6 Co 2.79-2.85
Bi (0.3283, 0.1717, 0.5000)  6 Co 2.79-2.85

SG: P4/mbm
Energy of formation in eV per atom: 0.28

***

Asked for magnetic moment across the records above, the calculation gives 1.97; 0.00; 0.00; 0.00; 0.00; 0.00; 0.01; 0.00; 11.00; 0.00; 0.00; 0.00; 0.00; 0.00; 0.00; 0.00; 0.00; 0.00; 0.00; 2.12 μB per formula unit in order.